Record 1
The following is a DFT calculation (PBE-GGA) of an optimized crystal structure of MgP2Au.

abc: 3.166 3.166 7.496
angles: 90.00 90.00 90.00
Space group P4mm (No. 99)
Asymmetric unit:
Mg 0.000 0.000 0.000 [1 per cell]
P 0.000 0.000 0.348 [1 per cell]
P 0.500 0.500 0.452 [1 per cell]
Au 0.500 0.500 0.789 [1 per cell]

Summary:
calculated total energy	-4.07	eV/atom

---

Record 2
The following is a DFT calculation (PBE-GGA) of an optimized crystal structure of MgP2Au.

abc: 4.076 4.443 9.572
angles: 90.00 90.00 90.00
Space group Immm (No. 71)
Asymmetric unit:
Mg 0.000 0.000 0.000 [2 per cell]
P 0.000 0.500 0.147 [4 per cell]
Au 0.000 0.000 0.500 [2 per cell]

Summary:
calculated total energy	-3.86	eV/atom

---

Record 3
The following is a DFT calculation (PBE-GGA) of an optimized crystal structure of MgPAu.

abc: 6.533 5.684 6.553
angles: 90.00 99.38 90.00
Space group Cc (No. 9)
Asymmetric unit:
Mg 0.000 0.075 0.000 [4 per cell]
P 0.218 0.249 0.730 [4 per cell]
Au 0.068 0.406 0.369 [4 per cell]

Summary:
calculated total energy	-3.75	eV/atom

---

Record 4
The following is a DFT calculation (PBE-GGA) of an optimized crystal structure of Mg2PAu.

abc: 3.481 4.508 4.509
angles: 90.00 90.00 90.00
Space group Pmm2 (No. 25)
Asymmetric unit:
Mg 0.000 0.000 0.000 [1 per cell]
Mg 0.000 0.500 0.499 [1 per cell]
P 0.500 0.500 0.997 [1 per cell]
Au 0.500 0.000 0.499 [1 per cell]

Summary:
calculated total energy	-3.37	eV/atom

---

Record 5
The following is a DFT calculation (PBE-GGA) of an optimized crystal structure of MgPAu3.

abc: 4.850 4.850 4.850
angles: 90.00 90.00 90.00
Space group Pm-3m (No. 221)
Asymmetric unit:
Mg 0.000 0.000 0.000 [1 per cell]
P 0.500 0.500 0.500 [1 per cell]
Au 0.000 0.000 0.500 [3 per cell]

Summary:
distance to the lowest polymorph of the same formula	756.5	meV/atom
calculated total energy	-2.50	eV/atom

---

Record 6
The following is a DFT calculation (PBE-GGA) of an optimized crystal structure of MgP3Au.

abc: 4.862 4.862 4.862
angles: 90.00 90.00 90.00
Space group Pm-3m (No. 221)
Asymmetric unit:
Mg 0.000 0.000 0.000 [1 per cell]
P 0.000 0.500 0.500 [3 per cell]
Au 0.500 0.500 0.500 [1 per cell]

Summary:
calculated total energy	-3.32	eV/atom

---

Record 7
The following is a DFT calculation (PBE-GGA) of an optimized crystal structure of MgP2Au.

abc: 5.320 7.402 4.555
angles: 90.00 125.56 90.00
Space group C2/m (No. 12)
Asymmetric unit:
Mg 0.000 0.000 0.000 [2 per cell]
P 0.250 0.250 0.500 [4 per cell]
Au 0.000 0.500 0.000 [2 per cell]

Summary:
calculated total energy	-3.92	eV/atom

---

Record 8
The following is a DFT calculation (PBE-GGA) of an optimized crystal structure of MgP4Au.

abc: 7.335 7.335 7.335
angles: 90.00 90.00 90.00
Space group F-43m (No. 216)
Asymmetric unit:
Mg 0.000 0.000 0.000 [4 per cell]
P 0.122 0.122 0.622 [16 per cell]
Au 0.250 0.250 0.250 [4 per cell]

Summary:
calculated total energy	-4.04	eV/atom

---

Record 9
The following is a DFT calculation (PBE-GGA) of an optimized crystal structure of Mg3PAu.

abc: 4.835 4.835 4.835
angles: 90.00 90.00 90.00
Space group Pm-3m (No. 221)
Asymmetric unit:
Mg 0.000 0.000 0.500 [3 per cell]
P 0.000 0.000 0.000 [1 per cell]
Au 0.500 0.500 0.500 [1 per cell]

Summary:
distance to the lowest polymorph of the same formula	0.0	meV/atom
calculated total energy	-2.85	eV/atom

---

Record 10
The following is a DFT calculation (PBE-GGA) of an optimized crystal structure of Mg2PAu2.

abc: 6.919 6.919 3.930
angles: 90.00 90.00 90.00
Space group P4/mbm (No. 127)
Asymmetric unit:
Mg 0.162 0.338 0.000 [4 per cell]
P 0.000 0.000 0.500 [2 per cell]
Au 0.144 0.644 0.500 [4 per cell]

Summary:
distance to the lowest polymorph of the same formula	0.0	meV/atom
calculated total energy	-3.31	eV/atom

---

Record 11
The following is a DFT calculation (PBE-GGA) of an optimized crystal structure of Mg2PAu.

abc: 4.013 3.797 9.771
angles: 90.00 90.00 90.00
Space group Amm2 (No. 38)
Asymmetric unit:
Mg 0.000 0.000 0.000 [2 per cell]
Mg 0.500 0.000 0.288 [2 per cell]
P 0.000 0.000 0.729 [2 per cell]
Au 0.500 0.000 0.564 [2 per cell]

Summary:
calculated total energy	-3.45	eV/atom

---

Record 12
The following is a DFT calculation (PBE-GGA) of an optimized crystal structure of MgPAu.

abc: 3.715 3.715 7.782
angles: 90.00 90.00 90.00
Space group I4mm (No. 107)
Asymmetric unit:
Mg 0.000 0.000 0.000 [2 per cell]
P 0.000 0.000 0.337 [2 per cell]
Au 0.000 0.000 0.658 [2 per cell]

Summary:
calculated total energy	-3.56	eV/atom

---

| no. | density of states at the Fermi level (states/eV per cell) | formation energy (eV/atom) |
| --- | --- | --- |
| 1 | 1.24 | -0.1466 |
| 2 | 2.01 | 0.0606 |
| 3 | 1.01 | -0.3224 |
| 4 | 0.95 | -0.4023 |
| 5 | 2.83 | 0.8719 |
| 6 | 5.21 | 0.8970 |
| 7 | 4.34 | 0.0000 |
| 8 | 4.71 | 0.3777 |
| 9 | 1.71 | -0.1608 |
| 10 | 2.57 | -0.2809 |
| 11 | 2.62 | -0.4810 |
| 12 | 1.88 | -0.1338 |